(1)
# PBE MgZr3O, relaxed
data_MgZr3O
_chemical_formula_sum 'Mg1 Zr3 O1'
_symmetry_space_group_name_H-M 'P m -3 m'
_symmetry_Int_Tables_number 221
_symmetry_space_group_name_Hall '-P 4 2 3'
_cell_length_a 4.5296
_cell_length_b 4.5296
_cell_length_c 4.5296
_cell_angle_alpha 90.00
_cell_angle_beta 90.00
_cell_angle_gamma 90.00
loop_
_atom_site_label
_atom_site_type_symbol
_atom_site_fract_x
_atom_site_fract_y
_atom_site_fract_z
Mg1 Mg 0.0000 0.0000 0.0000
Zr1 Zr 0.0000 0.5000 0.5000
O1 O 0.5000 0.5000 0.5000
# **E_form (uncorrected)**: -1.01 eV per atom
# **M_tot**: 0.00 Bohr magnetons per cell
# **DOS at the Fermi energy**: 4.53 states/eV/cell
# **Calculated total energy**: -7.45 eV/atom

(2)
# PBE AgBr2F6, relaxed
data_AgBr2F6
_chemical_formula_sum 'Ag4 Br8 F24'
_symmetry_space_group_name_H-M 'C 1 2/c 1'
_symmetry_Int_Tables_number 15
_symmetry_space_group_name_Hall '-C 2yc'
_cell_length_a 13.5376
_cell_length_b 8.5487
_cell_length_c 6.6696
_cell_angle_alpha 90.00
_cell_angle_beta 113.98
_cell_angle_gamma 90.00
loop_
_atom_site_label
_atom_site_type_symbol
_atom_site_fract_x
_atom_site_fract_y
_atom_site_fract_z
Ag1 Ag 0.0000 0.1238 0.2500
Br1 Br 0.2429 0.3767 0.2465
F1 F 0.0936 0.3338 0.1433
F2 F 0.0992 0.0831 0.6368
F3 F 0.2288 0.3716 0.7305
# **E_form (uncorrected)**: -0.84 eV per atom
# **M_tot**: 0.00 Bohr magnetons per cell
# **DOS at the Fermi energy**: 17.06 states/eV/cell
# **Calculated total energy**: -2.77 eV/atom

(3)
# PBE CrRe3Br, relaxed
data_CrRe3Br
_chemical_formula_sum 'Cr1 Re3 Br1'
_symmetry_space_group_name_H-M 'P m -3 m'
_symmetry_Int_Tables_number 221
_symmetry_space_group_name_Hall '-P 4 2 3'
_cell_length_a 4.5463
_cell_length_b 4.5463
_cell_length_c 4.5463
_cell_angle_alpha 90.00
_cell_angle_beta 90.00
_cell_angle_gamma 90.00
loop_
_atom_site_label
_atom_site_type_symbol
_atom_site_fract_x
_atom_site_fract_y
_atom_site_fract_z
Cr1 Cr 0.0000 0.0000 0.0000
Re1 Re 0.0000 0.0000 0.5000
Br1 Br 0.5000 0.5000 0.5000
# **E_form (uncorrected)**: 2.12 eV per atom
# **M_tot**: 1.60 Bohr magnetons per cell
# **DOS at the Fermi energy**: 8.31 states/eV/cell
# **Calculated total energy**: -7.61 eV/atom

(4)
# PBE SbPt2Cl, relaxed
data_SbPt2Cl
_chemical_formula_sum 'Sb2 Pt4 Cl2'
_symmetry_space_group_name_H-M 'I -4 m 2'
_symmetry_Int_Tables_number 119
_symmetry_space_group_name_Hall 'I -4 -2'
_cell_length_a 4.4064
_cell_length_b 4.4064
_cell_length_c 7.7000
_cell_angle_alpha 90.00
_cell_angle_beta 90.00
_cell_angle_gamma 90.00
loop_
_atom_site_label
_atom_site_type_symbol
_atom_site_fract_x
_atom_site_fract_y
_atom_site_fract_z
Sb1 Sb 0.0000 0.0000 0.0000
Pt1 Pt 0.0000 0.0000 0.5000
Pt2 Pt 0.0000 0.5000 0.2500
Cl1 Cl 0.0000 0.5000 0.7500
# **E_form (uncorrected)**: 0.31 eV per atom
# **M_tot**: 0.00 Bohr magnetons per cell
# **DOS at the Fermi energy**: 6.19 states/eV/cell
# **Calculated total energy**: -4.21 eV/atom

(5)
# PBE La3Dy5S12, relaxed
data_La3Dy5S12
_chemical_formula_sum 'La24 Dy40 S96'
_symmetry_space_group_name_H-M 'I a -3 d'
_symmetry_Int_Tables_number 230
_symmetry_space_group_name_Hall '-I 4bd 2c 3'
_cell_length_a 16.3764
_cell_length_b 16.3764
_cell_length_c 16.3764
_cell_angle_alpha 90.00
_cell_angle_beta 90.00
_cell_angle_gamma 90.00
loop_
_atom_site_label
_atom_site_type_symbol
_atom_site_fract_x
_atom_site_fract_y
_atom_site_fract_z
La1 La 0.0000 0.2500 0.1250
Dy1 Dy 0.0000 0.0000 0.0000
Dy2 Dy 0.0000 0.2500 0.3750
S1 S 0.0225 0.0662 0.6520
# **E_form (uncorrected)**: -1.99 eV per atom
# **M_tot**: 0.00 Bohr magnetons per cell
# **DOS at the Fermi energy**: 0.00 states/eV/cell
# **Calculated total energy**: -6.36 eV/atom

(6)
# PBE CaCd2Ag, relaxed
data_CaCd2Ag
_chemical_formula_sum 'Ca1 Cd2 Ag1'
_symmetry_space_group_name_H-M 'P 1 2/m 1'
_symmetry_Int_Tables_number 10
_symmetry_space_group_name_Hall '-P 2y'
_cell_length_a 3.5713
_cell_length_b 4.9457
_cell_length_c 5.7186
_cell_angle_alpha 90.00
_cell_angle_beta 99.71
_cell_angle_gamma 90.00
loop_
_atom_site_label
_atom_site_type_symbol
_atom_site_fract_x
_atom_site_fract_y
_atom_site_fract_z
Ca1 Ca 0.0000 0.0000 0.0000
Cd1 Cd 0.3918 0.5000 0.7353
Ag1 Ag 0.5000 0.0000 0.5000
# **M_tot**: 0.00 Bohr magnetons per cell
# **DOS at the Fermi energy**: 2.28 states/eV/cell
# **Calculated total energy**: -1.85 eV/atom
# **Energy relative to the elements**: -180 meV per atom